Here is a relaxed structure of Pm2PrTh3Bi6 from Alexandria via LeMat-Bulk. Energies are from PBE.

Energy relative to the elements: -0.765 eV/atom
Final energy: -0.423 Ry/atom
N(E_F): 6.7 states/eV/f.u.

Cell lengths 20.0553, 4.6013, 9.1842 Å; angles 90.00, 103.22, 90.00 degrees
Space group C2/m (No. 12)
Inequivalent atoms, fractional coordinates:
1 Pm 0.1667 0.0000 0.3332 (multiplicity 4)
2 Pr 0.0000 0.5000 0.0000 (multiplicity 2)
3 Th 0.0000 0.5000 0.5000 (multiplicity 2)
4 Th 0.1660 0.0000 0.8330 (multiplicity 4)
5 Bi 0.0007 0.0000 0.2520 (multiplicity 4)
6 Bi 0.1671 0.5000 0.5825 (multiplicity 4)
7 Bi 0.1676 0.5000 0.0847 (multiplicity 4)